Entry 1:
{
  "formula": "KHf2RhCl",
  "functional": "PBE",
  "state": "relaxed",
  "magnetic_moment_mub_per_cell": 0.00,
  "e_tot_ev_per_atom": -5.921,
  "lattice": [[4.869, 0.000, 0.000], [0.000, 4.869, 0.000], [0.000, 0.000, 6.964]],
  "species": ["K", "Hf", "Hf", "Rh", "Cl"],
  "frac_coords": [[0.000, 0.000, 0.000], [0.000, 0.500, 0.500], [0.500, 0.000, 0.500], [0.000, 0.000, 0.500], [0.500, 0.500, 0.000]]
}



Entry 2:
{
  "formula": "BeVAu",
  "functional": "PBE",
  "state": "relaxed",
  "magnetic_moment_mub_per_cell": 0.32,
  "ef_ev_per_atom": -0.06,
  "lattice": [[3.006, 0.000, 0.000], [1.503, 4.875, 0.000], [1.497, 0.932, 5.443]],
  "species": ["Be", "Be", "V", "V", "Au", "Au"],
  "frac_coords": [[0.114, 0.442, 0.329], [0.886, 0.558, 0.671], [0.380, 0.858, 0.381], [0.620, 0.142, 0.619], [0.165, 0.752, 0.920], [0.835, 0.248, 0.080]]
}